This record from Alexandria via LeMat-Bulk describes a relaxed structure of FeAu2NF. The functional is GGA+U.

a b c (Å): 4.2950 4.2950 4.1971
angles (deg): 90.00 90.00 90.00
Space group P4/mmm (No. 123)
Inequivalent atoms, fractional coordinates:
Fe: 0.0000 0.0000 0.0000 (multiplicity 1)
Au: 0.0000 0.5000 0.5000 (multiplicity 2)
N: 0.0000 0.0000 0.5000 (multiplicity 1)
F: 0.5000 0.5000 0.0000 (multiplicity 1)

## Properties
Mass density   10.4 g/cm³
Volume   77 Å³/cell
Calculated total energy   -4.349 eV/atom
DOS at the Fermi energy   0.50 states/eV per cell